1.
{
  "formula": "SrCrAs3",
  "functional": "meta-GGA SCAN",
  "state": "PBEsol geometry",
  "lattice_angstrom": [[4.750, 0.000, 0.000], [0.000, 4.750, 0.000], [0.000, 0.000, 4.750]],
  "species": ["Sr", "Cr", "As", "As", "As"],
  "fractional_positions": [[0.000, 0.000, 0.000], [0.500, 0.500, 0.500], [0.000, 0.500, 0.500], [0.500, 0.000, 0.500], [0.500, 0.500, 0.000]],
  "sg": "No. 221",
  "e_form_ev_per_atom": -0.316,
  "total_energy_ev_per_atom": -20.56
}

2.
{
  "formula": "Sr2CrAs",
  "functional": "meta-GGA SCAN",
  "state": "PBEsol geometry",
  "lattice_angstrom": [[4.417, 0.000, 0.000], [0.000, 2.253, 5.855], [0.000, -2.253, 5.855]],
  "species": ["Sr", "Sr", "Cr", "As"],
  "fractional_positions": [[0.000, 0.000, 0.000], [0.500, 0.285, 0.285], [0.500, 0.588, 0.588], [0.000, 0.710, 0.710]],
  "sg": "No. 38",
  "e_form_ev_per_atom": -0.545,
  "total_energy_ev_per_atom": -21.33
}

3.
{
  "formula": "SrCrAs2",
  "functional": "meta-GGA SCAN",
  "state": "PBEsol geometry",
  "lattice_angstrom": [[1.963, 1.133, 6.416], [-1.963, 1.133, 6.416], [0.000, -2.267, 6.416]],
  "species": ["Sr", "Cr", "As", "As"],
  "fractional_positions": [[0.000, 0.000, 0.000], [0.500, 0.500, 0.500], [0.226, 0.226, 0.226], [0.774, 0.774, 0.774]],
  "sg": "No. 166",
  "e_form_ev_per_atom": -0.744,
  "total_energy_ev_per_atom": -21.00
}

4.
{
  "formula": "TaCrAs",
  "functional": "meta-GGA SCAN",
  "state": "PBEsol geometry",
  "lattice_angstrom": [[0.000, 2.310, 5.580], [1.755, 0.000, 5.580], [1.755, 2.310, 0.000]],
  "species": ["Ta", "Cr", "As"],
  "fractional_positions": [[0.000, 0.000, 0.000], [0.324, 0.324, 0.676], [0.678, 0.678, 0.322]],
  "sg": "No. 42",
  "e_form_ev_per_atom": 0.034,
  "total_energy_ev_per_atom": -35.02
}

5.
{
  "formula": "TaCrAs",
  "functional": "meta-GGA SCAN",
  "state": "PBEsol geometry",
  "lattice_angstrom": [[3.100, 0.000, 0.000], [-1.550, 2.685, 0.000], [0.000, 0.000, 5.580]],
  "species": ["Ta", "Cr", "As"],
  "fractional_positions": [[0.000, 0.000, 0.000], [0.667, 0.333, 0.324], [0.333, 0.667, 0.634]],
  "sg": "No. 156",
  "e_form_ev_per_atom": 0.244,
  "total_energy_ev_per_atom": -34.81
}

6.
{
  "formula": "CrTc2As",
  "functional": "meta-GGA SCAN",
  "state": "PBEsol geometry",
  "lattice_angstrom": [[1.395, 0.805, 8.129], [-1.395, 0.805, 8.129], [0.000, -1.610, 8.129]],
  "species": ["Cr", "Tc", "Tc", "As"],
  "fractional_positions": [[0.000, 0.000, 0.000], [0.253, 0.253, 0.253], [0.747, 0.747, 0.747], [0.500, 0.500, 0.500]],
  "sg": "No. 166",
  "e_form_ev_per_atom": 0.172,
  "total_energy_ev_per_atom": -27.00
}

7.
{
  "formula": "Cr2TcAs",
  "functional": "meta-GGA SCAN",
  "state": "PBEsol geometry",
  "lattice_angstrom": [[1.500, -2.217, 0.000], [1.500, 2.217, 0.000], [0.000, 0.000, 7.872]],
  "species": ["Cr", "Cr", "Tc", "As"],
  "fractional_positions": [[0.000, 0.000, 0.000], [0.500, 0.500, 0.228], [0.500, 0.500, 0.751], [0.000, 0.000, 0.474]],
  "sg": "No. 35",
  "e_form_ev_per_atom": 0.332,
  "total_energy_ev_per_atom": -22.67
}

8.
{
  "formula": "CrTcAs2",
  "functional": "meta-GGA SCAN",
  "state": "PBEsol geometry",
  "lattice_angstrom": [[1.472, 0.850, 7.467], [-1.472, 0.850, 7.467], [0.000, -1.700, 7.467]],
  "species": ["Cr", "Tc", "As", "As"],
  "fractional_positions": [[0.000, 0.000, 0.000], [0.500, 0.500, 0.500], [0.253, 0.253, 0.253], [0.747, 0.747, 0.747]],
  "sg": "No. 166",
  "e_form_ev_per_atom": 0.102,
  "total_energy_ev_per_atom": -23.35
}

9.
{
  "formula": "CrTcAs3",
  "functional": "meta-GGA SCAN",
  "state": "PBEsol geometry",
  "lattice_angstrom": [[4.541, 0.000, 0.000], [0.000, 4.541, 0.000], [0.000, 0.000, 4.541]],
  "species": ["Cr", "Tc", "As", "As", "As"],
  "fractional_positions": [[0.000, 0.000, 0.000], [0.500, 0.500, 0.500], [0.000, 0.000, 0.500], [0.000, 0.500, 0.000], [0.500, 0.000, 0.000]],
  "sg": "No. 221",
  "e_form_ev_per_atom": 0.862,
  "total_energy_ev_per_atom": -21.94
}

10.
{
  "formula": "Cr2TcAs",
  "functional": "meta-GGA SCAN",
  "state": "PBEsol geometry",
  "lattice_angstrom": [[-1.770, 1.770, 4.056], [1.770, -1.770, 4.056], [1.770, 1.770, -4.056]],
  "species": ["Cr", "Cr", "Tc", "As"],
  "fractional_positions": [[0.000, 0.000, 0.000], [0.750, 0.250, 0.500], [0.500, 0.500, 0.000], [0.250, 0.750, 0.500]],
  "sg": "No. 119",
  "e_form_ev_per_atom": -0.020,
  "total_energy_ev_per_atom": -23.02
}

11.
{
  "formula": "Cr2TeAs",
  "functional": "meta-GGA SCAN",
  "state": "PBEsol geometry",
  "lattice_angstrom": [[-2.773, 2.773, 6.389], [2.773, -2.773, 6.389], [2.773, 2.773, -6.389]],
  "species": ["Cr", "Cr", "Cr", "Cr", "Te", "Te", "As", "As"],
  "fractional_positions": [[0.084, 0.625, 0.959], [0.375, 0.334, 0.459], [0.666, 0.125, 0.041], [0.875, 0.916, 0.541], [0.250, 0.750, 0.500], [0.500, 0.500, 0.000], [0.000, 0.000, 0.000], [0.750, 0.250, 0.500]],
  "polymorph_energy_ev_per_atom": 0.018,
  "sg": "No. 122",
  "total_energy_ev_per_atom": -23.71,
  "raw_formation_energy_mev_per_atom": -157.0
}

12.
{
  "formula": "CrTeAs2",
  "functional": "meta-GGA SCAN",
  "state": "PBEsol geometry",
  "lattice_angstrom": [[3.860, 0.000, 0.000], [0.000, 3.860, 0.000], [0.000, 0.000, 5.400]],
  "species": ["Cr", "Te", "As", "As"],
  "fractional_positions": [[0.000, 0.000, 0.000], [0.500, 0.500, 0.000], [0.000, 0.500, 0.500], [0.500, 0.000, 0.500]],
  "sg": "No. 123",
  "total_energy_ev_per_atom": -23.71,
  "raw_formation_energy_mev_per_atom": 293.7
}